A geometry-optimized AcZrSb2Pd2 structure, computed with PBE.

a b c (Å): 4.6458 4.6458 7.6366
angles (deg): 90.00 90.00 120.00
Element x y z (fractional)
Ac 0.0000 0.0000 0.0000
Zr 0.0000 0.0000 0.5000
Sb 0.3333 0.6667 0.7285
Sb 0.6667 0.3333 0.2715
Pd 0.3333 0.6667 0.3402
Pd 0.6667 0.3333 0.6598

Values from the calculation:
energy relative to the elements, uncorrected	-899	meV/atom
DOS(E_F)	3.70	states/eV/cell